Below is a PBEsol-optimized structure of InCu2, with properties calculated at the SCAN level.

The structure belongs to space group C2/m (No. 12); the cell edges are 10.184, 2.931 and 6.432 Å and the angles 90.00°, 112.87° and 90.00°. The distinct sites, in fractional coordinates, are In at (0.158, 0.000, 0.120), Cu at (0.037, 0.500, 0.725) and Cu at (0.156, 0.000, 0.535).

For the energy of formation from the pure elements, the calculation gives 0.080 eV per atom. The total magnetic moment comes out at 0.0 μB per formula unit. Its calculated total energy is -21.182 eV per atom.